Entry 1:
The following is a DFT calculation (PBE) of crystalline DyMgAgTe2S at its relaxed geometry.

Computed properties:
crystal system	orthorhombic
VASP energy	-4.085	eV/atom

```
data_DyMgAgTe2S
_chemical_formula_sum 'Dy4 Mg4 Ag4 Te8 S4'
_cell_length_a 4.121
_cell_length_b 13.948
_cell_length_c 10.605
_cell_angle_alpha 90.00
_cell_angle_beta 90.00
_cell_angle_gamma 90.00
_symmetry_space_group_name_H-M 'C m c m'
_symmetry_Int_Tables_number 63
_symmetry_space_group_name_Hall '-C 2c 2'
loop_
_atom_site_label
_atom_site_fract_x
_atom_site_fract_y
_atom_site_fract_z
Dy1 0.000 0.000 0.000
Mg1 0.000 0.278 0.250
Ag1 0.000 0.485 0.750
Te1 0.000 0.345 0.567
S1 0.000 0.099 0.750
```


Entry 2:
The following is a DFT calculation (PBE) of crystalline DyMgAgTeS2 at its relaxed geometry.

Computed properties:
crystal system	orthorhombic
VASP energy	-4.430	eV/atom

```
data_DyMgAgTeS2
_chemical_formula_sum 'Dy4 Mg4 Ag4 Te4 S8'
_cell_length_a 3.871
_cell_length_b 13.601
_cell_length_c 10.956
_cell_angle_alpha 90.00
_cell_angle_beta 90.00
_cell_angle_gamma 90.00
_symmetry_space_group_name_H-M 'C m c m'
_symmetry_Int_Tables_number 63
_symmetry_space_group_name_Hall '-C 2c 2'
loop_
_atom_site_label
_atom_site_fract_x
_atom_site_fract_y
_atom_site_fract_z
Dy1 0.000 0.000 0.000
Mg1 0.000 0.194 0.250
Ag1 0.000 0.493 0.750
Te1 0.000 0.138 0.750
S1 0.000 0.370 0.579
```


Entry 3:
The following is a DFT calculation (PBE) of crystalline DyMgAgSe3 at its relaxed geometry.

Computed properties:
crystal system	orthorhombic
VASP energy	-4.316	eV/atom

```
data_DyMgAgSe3
_chemical_formula_sum 'Dy4 Mg4 Ag4 Se12'
_cell_length_a 3.900
_cell_length_b 13.174
_cell_length_c 10.783
_cell_angle_alpha 90.00
_cell_angle_beta 90.00
_cell_angle_gamma 90.00
_symmetry_space_group_name_H-M 'C m c m'
_symmetry_Int_Tables_number 63
_symmetry_space_group_name_Hall '-C 2c 2'
loop_
_atom_site_label
_atom_site_fract_x
_atom_site_fract_y
_atom_site_fract_z
Dy1 0.000 0.000 0.000
Mg1 0.000 0.229 0.250
Ag1 0.000 0.481 0.750
Se1 0.000 0.118 0.750
Se2 0.000 0.351 0.569
```


Entry 4:
The following is a DFT calculation (PBE) of crystalline DyMgAgTeSe2 at its relaxed geometry.

Computed properties:
crystal system	orthorhombic
VASP energy	-4.171	eV/atom

```
data_DyMgAgTeSe2
_chemical_formula_sum 'Dy4 Mg4 Ag4 Te4 Se8'
_cell_length_a 3.965
_cell_length_b 13.659
_cell_length_c 11.098
_cell_angle_alpha 90.00
_cell_angle_beta 90.00
_cell_angle_gamma 90.00
_symmetry_space_group_name_H-M 'C m c m'
_symmetry_Int_Tables_number 63
_symmetry_space_group_name_Hall '-C 2c 2'
loop_
_atom_site_label
_atom_site_fract_x
_atom_site_fract_y
_atom_site_fract_z
Dy1 0.000 0.000 0.000
Mg1 0.000 0.203 0.250
Ag1 0.000 0.483 0.750
Te1 0.000 0.126 0.750
Se1 0.000 0.358 0.571
```


Entry 5:
The following is a DFT calculation (PBE) of crystalline DyMgAgTe3 at its relaxed geometry.

Computed properties:
crystal system	orthorhombic
VASP energy	-3.848	eV/atom

```
data_DyMgAgTe3
_chemical_formula_sum 'Dy4 Mg4 Ag4 Te12'
_cell_length_a 4.151
_cell_length_b 14.244
_cell_length_c 11.312
_cell_angle_alpha 90.00
_cell_angle_beta 90.00
_cell_angle_gamma 90.00
_symmetry_space_group_name_H-M 'C m c m'
_symmetry_Int_Tables_number 63
_symmetry_space_group_name_Hall '-C 2c 2'
loop_
_atom_site_label
_atom_site_fract_x
_atom_site_fract_y
_atom_site_fract_z
Dy1 0.000 0.000 0.000
Mg1 0.000 0.221 0.250
Ag1 0.000 0.479 0.750
Te1 0.000 0.114 0.750
Te2 0.000 0.349 0.567
```


Entry 6:
The following is a DFT calculation (PBE) of crystalline Dy3Mg3Tl2Ag at its relaxed geometry.

Computed properties:
crystal system	hexagonal
VASP energy	-3.222	eV/atom

```
data_Dy3Mg3Tl2Ag
_chemical_formula_sum 'Dy3 Mg3 Tl2 Ag1'
_cell_length_a 7.5759
_cell_length_b 7.5759
_cell_length_c 4.4857
_cell_angle_alpha 90.00
_cell_angle_beta 90.00
_cell_angle_gamma 120.00
_symmetry_space_group_name_H-M 'P -6 2 m'
_symmetry_Int_Tables_number 189
_symmetry_space_group_name_Hall 'P -6 -2'
loop_
_atom_site_label
_atom_site_fract_x
_atom_site_fract_y
_atom_site_fract_z
Dy1 0.0000 0.4148 0.0000
Mg1 0.0000 0.7618 0.5000
Tl1 0.3333 0.6667 0.5000
Ag1 0.0000 0.0000 0.0000
```